(1)
A plane-wave DFT calculation with GGA-PBE was carried out for a relaxed Nd3SmCu4 crystal.

Cell lengths 5.0729, 7.1341, 10.1472 Å; angles 90.00, 90.00, 90.00 degrees
Fractional coordinates of all 16 atoms:
Cu 0.5000 0.2546 0.0000
Cu 0.5000 0.2546 0.5000
Cu 0.9963 0.7456 0.2500
Cu 0.0037 0.7456 0.7500
Cu 0.0037 0.2544 0.7500
Cu 0.5000 0.7454 0.5000
Cu 0.5000 0.7454 0.0000
Cu 0.9963 0.2544 0.2500
Sm 0.0000 0.5000 0.0000
Sm 0.0000 0.5000 0.5000
Nd 0.0000 0.0000 0.0000
Nd 0.0000 0.0000 0.5000
Nd 0.4982 0.5000 0.2500
Nd 0.4983 0.0000 0.2500
Nd 0.5017 0.0000 0.7500
Nd 0.5018 0.5000 0.7500

For the formation energy, the calculation gives -1.2 eV per formula unit.

***

(2)
A plane-wave DFT calculation with GGA-PBE was carried out for a relaxed NdSmCu2 crystal.

Cell lengths 3.5655, 3.5655, 7.1479 Å; angles 90.00, 90.00, 90.00 degrees
Fractional coordinates of all 4 atoms:
Cu 0.0000 0.0000 0.2428
Cu 0.0000 0.0000 0.7572
Nd 0.5000 0.5000 0.5000
Sm 0.5000 0.5000 0.0000

The distance to the lowest polymorph of the same formula comes out at 27.3 meV/atom. For the formation energy, the calculation gives -0.6 eV per formula unit.

***

(3)
A plane-wave DFT calculation with GGA-PBE was carried out for a relaxed Nd2SmCu9 crystal.

Cell lengths 5.2371, 5.2371, 8.9602 Å; angles 73.01, 73.01, 60.00 degrees
Fractional coordinates of all 12 atoms:
Cu 0.5780 0.5780 0.7592
Cu 0.3316 0.3316 0.0052
Cu 0.9152 0.4220 0.2408
Cu 0.4220 0.4220 0.2408
Cu 0.5780 0.0848 0.7592
Cu 0.4220 0.9152 0.2408
Cu 0.6684 0.6684 0.9948
Cu 0.0848 0.5780 0.7592
Cu 0.5000 0.5000 0.5000
Sm 0.0000 0.0000 0.0000
Nd 0.8576 0.8576 0.4273
Nd 0.1424 0.1424 0.5727

For the formation energy, the calculation gives -1.7 eV per formula unit.

***

(4)
A plane-wave DFT calculation with GGA-PBE was carried out for a relaxed Nd4Sm3Cu4 crystal.

Cell lengths 4.9499, 7.4946, 8.9893 Å; angles 114.64, 105.98, 90.00 degrees
Fractional coordinates of all 11 atoms:
Nd 0.3293 0.1085 0.6587
Nd 0.6707 0.4499 0.3413
Nd 0.6707 0.8915 0.3413
Nd 0.3293 0.5501 0.6587
Sm 0.1010 0.1010 0.2019
Sm 0.0000 0.5000 0.0000
Sm 0.8990 0.8990 0.7981
Cu 0.1990 0.6990 0.3980
Cu 0.5000 0.1639 0.0000
Cu 0.5000 0.8361 0.0000
Cu 0.8010 0.3010 0.6020

For the formation energy, the calculation gives -0.4 eV per formula unit.

***

(5)
A plane-wave DFT calculation with GGA-PBE was carried out for a relaxed NdSmCu2 crystal.

Cell lengths 3.9066, 4.5320, 5.6596 Å; angles 90.00, 111.26, 90.00 degrees
Fractional coordinates of all 4 atoms:
Cu 0.0112 0.0000 0.5698
Cu 0.1529 0.5000 0.8363
Sm 0.4411 0.5000 0.4226
Nd 0.7257 0.0000 0.9893

The distance to the lowest polymorph of the same formula comes out at 0.0 meV/atom. For the formation energy, the calculation gives -0.8 eV per formula unit.

***

(6)
A plane-wave DFT calculation with GGA-PBE was carried out for a relaxed TbNdSmCu crystal.

Cell lengths 3.5728, 3.5728, 8.7369 Å; angles 90.00, 90.00, 90.00 degrees
Fractional coordinates of all 4 atoms:
Cu 0.0000 0.0000 0.5644
Nd 0.0000 0.0000 0.0746
Tb 0.5000 0.5000 0.3788
Sm 0.5000 0.5000 0.7669

For the formation energy, the calculation gives -0.3 eV per formula unit.

***

(7)
A plane-wave DFT calculation with GGA-PBE was carried out for a relaxed NdSmCuTc crystal.

Cell lengths 4.9999, 4.9999, 4.9999 Å; angles 60.00, 60.00, 60.00 degrees
Fractional coordinates of all 4 atoms:
Nd 0.0000 0.0000 0.0000
Tc 0.7500 0.7500 0.7500
Sm 0.5000 0.5000 0.5000
Cu 0.2500 0.2500 0.2500

For the formation energy, the calculation gives 0.2 eV per formula unit.

***

(8)
A plane-wave DFT calculation with GGA-PBE was carried out for a relaxed NdSm2CuTe5 crystal.

Cell lengths 4.3057, 9.8996, 13.0171 Å; angles 90.00, 90.00, 102.56 degrees
Fractional coordinates of all 18 atoms:
Nd 0.8086 0.6173 0.5093
Nd 0.1914 0.3827 0.0093
Sm 0.8928 0.7855 0.1831
Sm 0.1072 0.2145 0.6831
Sm 0.1208 0.2417 0.3064
Sm 0.8792 0.7583 0.8064
Te 0.2880 0.5759 0.6814
Te 0.0398 0.0796 0.0648
Te 0.9602 0.9204 0.5648
Te 0.3189 0.6378 0.3366
Te 0.7120 0.4241 0.1814
Te 0.3581 0.7163 0.9990
Te 0.5003 0.0007 0.2855
Te 0.4997 0.9993 0.7855
Te 0.6419 0.2837 0.4990
Te 0.6811 0.3622 0.8366
Cu 0.4303 0.8607 0.4580
Cu 0.5697 0.1393 0.9580

The calculation puts the total energy at -89.1 eV per cell.